VASP calculation (PBE) on crystalline Hf6Mn2Hg at its relaxed geometry.

M_tot: 0.00 μB per cell
calculated density: 12.86 g/cm³
energy of formation: -6 kJ per mole of atoms
final energy: -157.90 eV/cell
N(E_F): 8.098 states/eV/f.u.

Cell: 7.7537 7.7537 7.7537 Å, 112.71 111.47 104.35°
Positions (direct):
Hf: 0.0317 0.2421 0.7896
Hf: 0.1960 0.2832 0.4792
Hf: 0.1960 0.7168 0.9127
Hf: 0.3243 0.0132 0.6889
Hf: 0.3243 0.6354 0.3111
Hf: 0.4526 0.2421 0.2104
Hf: 0.5474 0.7579 0.7896
Hf: 0.6757 0.3646 0.6889
Hf: 0.6757 0.9868 0.3111
Hf: 0.8040 0.2832 0.0873
Hf: 0.8040 0.7168 0.5208
Hf: 0.9683 0.7579 0.2104
Mn: 0.1101 0.6101 0.5000
Mn: 0.3345 0.0000 0.3345
Mn: 0.6655 0.0000 0.6655
Mn: 0.8899 0.3899 0.5000
Hg: 0.0000 0.0000 0.0000
Hg: 0.5000 0.5000 0.0000


VASP calculation (PBE) on crystalline ZnRe2Ir2 at its relaxed geometry.

M_tot: 0.00 μB per cell
calculated density: 16.97 g/cm³
energy of formation: 18 kJ per mole of atoms
final energy: -85.89 eV/cell
relative energy among the computed polymorphs: 0 meV/atom
N(E_F): 4.258 states/eV/f.u.

Cell: 7.6786 7.6786 2.7286 Å, 90.00 90.00 90.00°
Positions (direct):
Zn: 0.0000 0.0000 0.0000
Zn: 0.5000 0.5000 0.0000
Re: 0.1235 0.3765 0.0000
Re: 0.3765 0.8765 0.0000
Re: 0.6235 0.1235 0.0000
Re: 0.8765 0.6235 0.0000
Ir: 0.1670 0.6670 0.5000
Ir: 0.3330 0.1670 0.5000
Ir: 0.6670 0.8330 0.5000
Ir: 0.8330 0.3330 0.5000


VASP calculation (PBE) on crystalline Pu3ZnPd3 at its relaxed geometry.

M_tot: 11.81 μB per cell
calculated density: 12.11 g/cm³
energy of formation: -37 kJ per mole of atoms
final energy: -125.03 eV/cell
relative energy among the computed polymorphs: 0 meV/atom
N(E_F): 35.216 states/eV/f.u.

Cell: 5.8280 5.8280 13.8905 Å, 107.45 107.45 43.31°
Positions (direct):
Pu: 0.0249 0.0249 0.3855
Pu: 0.1049 0.1049 0.9212
Pu: 0.2331 0.2331 0.2238
Pu: 0.7669 0.7669 0.7762
Pu: 0.8951 0.8951 0.0788
Pu: 0.9751 0.9751 0.6145
Zn: 0.2669 0.2669 0.6010
Zn: 0.7331 0.7331 0.3990
Pd: 0.3668 0.3668 0.4474
Pd: 0.3802 0.3802 0.9247
Pd: 0.4830 0.4830 0.7633
Pd: 0.5170 0.5170 0.2367
Pd: 0.6198 0.6198 0.0753
Pd: 0.6332 0.6332 0.5526


VASP calculation (PBE) on crystalline La5TlPb4 at its relaxed geometry.

M_tot: 0.00 μB per cell
calculated density: 9.11 g/cm³
energy of formation: -53 kJ per mole of atoms
final energy: -47.34 eV/cell
N(E_F): 10.248 states/eV/f.u.

Cell: 3.6782 3.6782 23.2812 Å, 90.00 90.00 90.00°
Positions (direct):
La: 0.0000 0.0000 0.0000
La: 0.0000 0.0000 0.2010
La: 0.0000 0.0000 0.4021
La: 0.0000 0.0000 0.5979
La: 0.0000 0.0000 0.7990
Tl: 0.5000 0.5000 0.5000
Pb: 0.5000 0.5000 0.1001
Pb: 0.5000 0.5000 0.3012
Pb: 0.5000 0.5000 0.6988
Pb: 0.5000 0.5000 0.8999